Entry 1:
A relaxed structure of RbPClO2. Source: Alexandria via LeMat-Bulk, functional GGA-PBE.

a = 4.5704 Å, b = 4.5704 Å, c = 4.4067 Å
α = 90.00°, β = 90.00°, γ = 90.00°
With the nearest neighbours (Å) after each atom.
Sites, in units of the cell vectors:
Rb 0.0000 0.0000 0.0000  8 O 3.17, 4 P 3.23
P 0.5000 0.5000 0.0000  2 Cl 2.20
Cl 0.5000 0.5000 0.5000  2 P 2.20, 4 O 2.29
O 0.0000 0.5000 0.5000  2 Cl 2.29
O 0.5000 0.0000 0.5000  2 Cl 2.29

## Properties
* SG: P4/mmm
* VASP energy: -2.977 eV/atom

=====

Entry 2:
A relaxed structure of Ca2LaSbN. Source: Alexandria via LeMat-Bulk, functional GGA-PBE.

a = 4.9239 Å, b = 4.9239 Å, c = 5.0193 Å
α = 90.00°, β = 90.00°, γ = 90.00°
With the nearest neighbours (Å) after each atom.
Sites, in units of the cell vectors:
Ca 0.0000 0.5000 0.0000  2 N 2.46
Ca 0.5000 0.0000 0.0000  2 N 2.46
La 0.0000 0.0000 0.5000  2 N 2.51
Sb 0.5000 0.5000 0.5000  4 La 3.48, 8 Ca 3.52
N 0.0000 0.0000 0.0000  4 Ca 2.46, 2 La 2.51

## Properties
* SG: P4/mmm
* VASP energy: -5.334 eV/atom

=====

Entry 3:
A relaxed structure of BaSiHgS4. Source: Alexandria via LeMat-Bulk, functional GGA-PBE.

a = 6.3491 Å, b = 7.1443 Å, c = 8.3600 Å
α = 90.00°, β = 104.59°, γ = 90.00°
With the nearest neighbours (Å) after each atom.
Sites, in units of the cell vectors:
Ba 0.2401 0.2500 0.0664  7 S 3.24-3.60
Ba 0.7599 0.7500 0.9336  7 S 3.24-3.60
Si 0.2141 0.7500 0.3000  4 S 2.11-2.15
Si 0.7859 0.2500 0.7000  4 S 2.11-2.15
Hg 0.2271 0.2500 0.5720  3 S 2.44-2.67
Hg 0.7729 0.7500 0.4280  3 S 2.44-2.67
S 0.0091 0.0186 0.7232  1 Si 2.15
S 0.0091 0.4814 0.7232  1 Si 2.15
S 0.3433 0.7500 0.0907  1 Si 2.11
S 0.4494 0.7500 0.5351  1 Si 2.15
S 0.5506 0.2500 0.4649  1 Si 2.15
S 0.6567 0.2500 0.9093  1 Si 2.11
S 0.9909 0.5186 0.2768  1 Si 2.15
S 0.9909 0.9814 0.2768  1 Si 2.15

## Properties
* SG: P2_1/m
* VASP energy: -4.373 eV/atom

=====

What is the formula in the third record?
BaSiHgS4